The following is a PBE calculation of a relaxed structure of Be2VMoP, from the Alexandria database.

* magnetization: 0.00 μB per formula unit
* total energy: -25.568 eV/cell
* space group: P4/mmm, No. 123
* energy of formation: 1448.8 meV per atom

abc: 4.310 4.459 4.310
angles: 90.00 90.00 90.00
Fractional positions:
P (0.500, 0.500, 0.500)
V (0.000, 0.500, 0.000)
Be (0.500, 0.000, 0.000)
Be (0.000, 0.000, 0.500)
Mo (0.000, 0.000, 0.000)



The following is a PBE calculation of a relaxed structure of Pa2Be4Si3Mo, from the Alexandria database.

* magnetization: 0.00 μB per formula unit
* total energy: -63.569 eV/cell
* E_form (uncorrected): -0.257 eV/atom
* space group: P-4m2, No. 115

abc: 3.854 3.854 9.847
angles: 90.00 90.00 90.00
Fractional positions:
Mo (0.500, 0.500, 0.500)
Be (0.500, 0.000, 0.644)
Be (0.000, 0.000, 0.000)
Be (0.000, 0.500, 0.356)
Be (0.500, 0.500, 0.000)
Pa (0.500, 0.000, 0.245)
Pa (0.000, 0.500, 0.755)
Si (0.000, 0.500, 0.128)
Si (0.000, 0.000, 0.500)
Si (0.500, 0.000, 0.872)



The following is a PBE calculation of a relaxed structure of BeMo2Pb, from the Alexandria database.

* E above lowest polymorph: 0.149 eV/atom
* magnetization: 0.00 μB per formula unit
* total energy: -27.292 eV/cell
* space group: P2/m, No. 10
* energy of formation: 451.3 meV per atom

abc: 3.125 3.153 7.316
angles: 71.03 90.00 90.00
Fractional positions:
Pb (0.500, 0.250, 0.250)
Mo (0.000, 0.381, 0.580)
Mo (0.000, 0.119, 0.920)
Be (0.500, 0.750, 0.750)



The following is a PBE calculation of a relaxed structure of BeMo2Pb, from the Alexandria database.

* E above lowest polymorph: 0.237 eV/atom
* magnetization: 0.00 μB per formula unit
* total energy: -26.940 eV/cell
* space group: R-3m, No. 166
* energy of formation: 539.2 meV per atom

abc: 7.400 7.400 7.400
angles: 25.70 25.70 25.70
Fractional positions:
Pb (0.250, 0.250, 0.250)
Mo (0.472, 0.472, 0.472)
Mo (0.028, 0.028, 0.028)
Be (0.750, 0.750, 0.750)



The following is a PBE calculation of a relaxed structure of BeMoPb4, from the Alexandria database.

* magnetization: 3.77 μB per formula unit
* total energy: -22.120 eV/cell
* space group: F-43m, No. 216
* energy of formation: 1211.7 meV per atom

abc: 6.317 6.317 6.317
angles: 60.00 60.00 60.00
Fractional positions:
Pb (0.375, 0.375, 0.375)
Pb (0.375, 0.876, 0.375)
Pb (0.375, 0.375, 0.876)
Pb (0.876, 0.375, 0.375)
Mo (0.000, 0.000, 0.000)
Be (0.750, 0.750, 0.750)



The following is a PBE calculation of a relaxed structure of BeMo2Pb, from the Alexandria database.

* E above lowest polymorph: 0.301 eV/atom
* magnetization: 0.00 μB per formula unit
* total energy: -26.686 eV/cell
* space group: Cmm2, No. 35
* energy of formation: 602.6 meV per atom

abc: 2.906 2.906 9.027
angles: 90.00 90.00 110.05
Fractional positions:
Mo (0.500, 0.500, 0.215)
Mo (0.000, 0.000, 0.987)
Pb (0.000, 0.000, 0.500)
Be (0.500, 0.500, 0.798)